[1]
Material: Ac2PuCd12Ag3
Method: DFT, GGA-PBE
State: relaxed

Lattice parameters (Å, degrees): 11.5518 11.5518 11.5518 36.55 36.55 36.55
Atoms (fractional coordinates):
Ac 0.1424 0.1424 0.1424
Ac 0.8576 0.8576 0.8576
Pu 0.5000 0.5000 0.5000
Cd 0.0469 0.6250 0.6250
Cd 0.1829 0.1829 0.7772
Cd 0.1829 0.7772 0.1829
Cd 0.2228 0.8171 0.8171
Cd 0.3750 0.3750 0.9531
Cd 0.3750 0.9531 0.3750
Cd 0.6250 0.0469 0.6250
Cd 0.6250 0.6250 0.0469
Cd 0.7772 0.1829 0.1829
Cd 0.8171 0.2228 0.8171
Cd 0.8171 0.8171 0.2228
Cd 0.9531 0.3750 0.3750
Ag 0.0000 0.5000 0.5000
Ag 0.5000 0.0000 0.5000
Ag 0.5000 0.5000 0.0000

Total moment = 6.32 μB/cell
Theoretical density = 8.0 g/cm³
N(E_F) = 21.1 states/eV/f.u.
Formation energy = 0.02 eV/atom
Space-group type = R-3m (166)


[2]
Material: AcCdAgRh
Method: DFT, GGA-PBE
State: relaxed

Lattice parameters (Å, degrees): 4.7185 4.7185 5.7572 114.22 114.22 60.23
Atoms (fractional coordinates):
Ac 0.0000 0.0000 0.0000
Cd 0.4870 0.4870 0.4581
Ag 0.2092 0.2092 0.6254
Rh 0.7920 0.7920 0.3712

Total moment = 0.00 μB/cell
Theoretical density = 9.3 g/cm³
N(E_F) = 2.5 states/eV/f.u.
Formation energy = -0.34 eV/atom
Space-group type = Cm (8)
Energy relative to the lowest polymorph listed for this composition = 0.000 eV per atom


[3]
Material: AcCdAgRh
Method: DFT, GGA-PBE
State: relaxed

Lattice parameters (Å, degrees): 5.1019 5.1019 5.1019 60.00 60.00 60.00
Atoms (fractional coordinates):
Ac 0.0000 0.0000 0.0000
Cd 0.5000 0.5000 0.5000
Ag 0.7500 0.7500 0.7500
Rh 0.2500 0.2500 0.2500

Total moment = 0.00 μB/cell
Theoretical density = 9.7 g/cm³
N(E_F) = 3.1 states/eV/f.u.
Formation energy = -0.22 eV/atom
Space-group type = F-43m (216)
Energy relative to the lowest polymorph listed for this composition = 0.120 eV per atom


[4]
Material: Ac2CdAgS5
Method: DFT, GGA-PBE
State: relaxed

Lattice parameters (Å, degrees): 8.7842 8.7842 12.1472 90.00 90.00 152.00
Atoms (fractional coordinates):
Ac 0.1148 0.8852 0.5000
Ac 0.1374 0.8626 0.1135
Ac 0.8626 0.1374 0.6135
Ac 0.8852 0.1148 0.0000
Cd 0.4457 0.5543 0.2684
Cd 0.5543 0.4457 0.7684
Ag 0.2108 0.7892 0.8334
Ag 0.7892 0.2108 0.3334
S 0.0591 0.9409 0.8763
S 0.2862 0.7138 0.4736
S 0.3112 0.6888 0.1527
S 0.3600 0.6400 0.8105
S 0.4925 0.5075 0.5802
S 0.5075 0.4925 0.0802
S 0.6400 0.3600 0.3105
S 0.6888 0.3112 0.6527
S 0.7138 0.2862 0.9736
S 0.9409 0.0591 0.3763

Total moment = 0.00 μB/cell
Theoretical density = 6.3 g/cm³
N(E_F) = 6.5 states/eV/f.u.
Space-group type = Cmc2_1 (36)
Energy relative to the elements, uncorrected = -1.27 eV per atom


[5]
Material: AcCdAgSb
Method: DFT, GGA-PBE
State: relaxed

Lattice parameters (Å, degrees): 5.4278 5.4278 5.4278 60.00 60.00 60.00
Atoms (fractional coordinates):
Ac 0.0000 0.0000 0.0000
Cd 0.5000 0.5000 0.5000
Ag 0.2500 0.2500 0.2500
Sb 0.7500 0.7500 0.7500

Total moment = 0.00 μB/cell
Theoretical density = 8.4 g/cm³
N(E_F) = 1.4 states/eV/f.u.
Space-group type = F-43m (216)
Energy relative to the elements, uncorrected = -0.32 eV per atom


[6]
Material: Ac2CdAgSe5
Method: DFT, GGA-PBE
State: relaxed

Lattice parameters (Å, degrees): 9.5532 9.5532 11.8828 90.00 90.00 153.51
Atoms (fractional coordinates):
Ac 0.1096 0.8904 0.5000
Ac 0.1280 0.8720 0.8830
Ac 0.8720 0.1280 0.3830
Ac 0.8904 0.1096 0.0000
Cd 0.4100 0.5900 0.6808
Cd 0.5900 0.4100 0.1808
Ag 0.2170 0.7830 0.1936
Ag 0.7830 0.2170 0.6936
Se 0.0250 0.9750 0.2580
Se 0.2885 0.7115 0.5344
Se 0.3029 0.6971 0.8539
Se 0.3621 0.6379 0.1919
Se 0.4832 0.5168 0.4785
Se 0.5168 0.4832 0.9785
Se 0.6379 0.3621 0.6919
Se 0.6971 0.3029 0.3539
Se 0.7115 0.2885 0.0344
Se 0.9750 0.0250 0.7580

Total moment = 0.00 μB/cell
Theoretical density = 7.3 g/cm³
N(E_F) = 7.1 states/eV/f.u.
Space-group type = Cmc2_1 (36)
Energy relative to the elements, uncorrected = -1.21 eV per atom


[7]
Material: AcCd2SiAg2
Method: DFT, GGA-PBE
State: relaxed

Lattice parameters (Å, degrees): 8.8910 8.8910 8.8910 150.94 150.94 41.56
Atoms (fractional coordinates):
Ac 0.0000 0.0000 0.0000
Cd 0.2500 0.7500 0.5000
Cd 0.7500 0.2500 0.5000
Si 0.5000 0.5000 0.0000
Ag 0.3562 0.3562 0.0000
Ag 0.6438 0.6438 0.0000

Total moment = 0.00 μB/cell
Theoretical density = 7.0 g/cm³
N(E_F) = 2.6 states/eV/f.u.
Space-group type = I4/mmm (139)
Energy relative to the elements, uncorrected = -0.05 eV per atom


[8]
Material: AcCdSiAg
Method: DFT, GGA-PBE
State: relaxed

Lattice parameters (Å, degrees): 5.1815 5.1815 5.1815 60.00 60.00 60.00
Atoms (fractional coordinates):
Ac 0.0000 0.0000 0.0000
Cd 0.5000 0.5000 0.5000
Si 0.7500 0.7500 0.7500
Ag 0.2500 0.2500 0.2500

Total moment = 0.00 μB/cell
Theoretical density = 8.0 g/cm³
N(E_F) = 1.1 states/eV/f.u.
Space-group type = F-43m (216)
Energy relative to the elements, uncorrected = -0.15 eV per atom


[9]
Material: AcSmCdAg
Method: DFT, GGA-PBE
State: relaxed

Lattice parameters (Å, degrees): 5.5177 5.5177 5.5177 60.00 60.00 60.00
Atoms (fractional coordinates):
Ac 0.0000 0.0000 0.0000
Sm 0.5000 0.5000 0.5000
Cd 0.7500 0.7500 0.7500
Ag 0.2500 0.2500 0.2500

Total moment = 0.00 μB/cell
Theoretical density = 8.4 g/cm³
N(E_F) = 3.4 states/eV/f.u.
Formation energy = -0.25 eV/atom
Space-group type = F-43m (216)
Energy relative to the lowest polymorph listed for this composition = 0.029 eV per atom


[10]
Material: AcSmCdAg
Method: DFT, GGA-PBE
State: relaxed

Lattice parameters (Å, degrees): 3.8795 3.8795 7.8160 90.00 90.00 90.00
Atoms (fractional coordinates):
Ac 0.0000 0.0000 0.0000
Sm 0.0000 0.0000 0.4844
Cd 0.5000 0.5000 0.7177
Ag 0.5000 0.5000 0.2746

Total moment = 0.00 μB/cell
Theoretical density = 8.4 g/cm³
N(E_F) = 3.7 states/eV/f.u.
Formation energy = -0.28 eV/atom
Space-group type = P4mm (99)
Energy relative to the lowest polymorph listed for this composition = 0.000 eV per atom


[11]
Material: AcCdAgSn
Method: DFT, GGA-PBE
State: relaxed

Lattice parameters (Å, degrees): 5.3738 5.3738 5.3738 60.00 60.00 60.00
Atoms (fractional coordinates):
Ac 0.0000 0.0000 0.0000
Cd 0.5000 0.5000 0.5000
Ag 0.2500 0.2500 0.2500
Sn 0.7500 0.7500 0.7500

Total moment = 0.00 μB/cell
Theoretical density = 8.6 g/cm³
N(E_F) = 1.4 states/eV/f.u.
Formation energy = -0.29 eV/atom
Space-group type = F-43m (216)


[12]
Material: AcCd4Ag5Sn
Method: DFT, GGA-PBE
State: relaxed

Lattice parameters (Å, degrees): 5.4513 5.4513 9.0313 90.00 90.00 90.00
Atoms (fractional coordinates):
Ac 0.0000 0.0000 0.0000
Cd 0.0000 0.5000 0.5000
Cd 0.5000 0.0000 0.5000
Cd 0.5000 0.5000 0.3335
Cd 0.5000 0.5000 0.6665
Ag 0.0000 0.0000 0.5000
Ag 0.0000 0.5000 0.1897
Ag 0.0000 0.5000 0.8103
Ag 0.5000 0.0000 0.1897
Ag 0.5000 0.0000 0.8103
Sn 0.5000 0.5000 0.0000

Total moment = 0.00 μB/cell
Theoretical density = 8.3 g/cm³
N(E_F) = 3.3 states/eV/f.u.
Formation energy = 0.06 eV/atom
Space-group type = P4/mmm (123)